[1]
# Al2CrCo

A relaxed Al2CrCo crystal (GGA-PBE, Alexandria via LeMat-Bulk).

energy relative to the elements = -1.1 eV/f.u.

```
data_Al2CrCo
_chemical_formula_sum 'Al2 Cr1 Co1'
_symmetry_space_group_name_H-M 'P 4/m m m'
_symmetry_Int_Tables_number 123
_symmetry_space_group_name_Hall '-P 4 2'
_cell_length_a 4.093
_cell_length_b 4.093
_cell_length_c 3.047
_cell_angle_alpha 90.00
_cell_angle_beta 90.00
_cell_angle_gamma 90.00
loop_
_atom_site_label
_atom_site_fract_x
_atom_site_fract_y
_atom_site_fract_z
_atom_site_occupancy
Al1 0.000 0.500 0.000 1
Cr1 0.000 0.000 0.500 1
Co1 0.500 0.500 0.500 1
```

***

[2]
# Al6CrCo5

A relaxed Al6CrCo5 crystal (GGA-PBE, Alexandria via LeMat-Bulk).

energy relative to the elements = -5.9 eV/f.u.

```
data_Al6CrCo5
_chemical_formula_sum 'Al12 Cr2 Co10'
_symmetry_space_group_name_H-M 'C m m m'
_symmetry_Int_Tables_number 65
_symmetry_space_group_name_Hall '-C 2 2'
_cell_length_a 4.071
_cell_length_b 12.225
_cell_length_c 5.790
_cell_angle_alpha 90.00
_cell_angle_beta 90.00
_cell_angle_gamma 90.00
loop_
_atom_site_label
_atom_site_fract_x
_atom_site_fract_y
_atom_site_fract_z
_atom_site_occupancy
Al1 0.000 0.000 0.238 1
Al2 0.000 0.329 0.246 1
Cr1 0.000 0.500 0.500 1
Co1 0.000 0.163 0.500 1
Co2 0.000 0.167 0.000 1
Co3 0.000 0.500 0.000 1
```

***

- Among the records above, which one has the highest energy relative to the elements?
  Al2CrCo